A relaxed TbHPd2 crystal. Source: Alexandria via LeMat-Bulk, functional GGA-PBE.

Unit cell a=3.1004 b=3.1004 c=22.6824 alpha=90.00 beta=90.00 gamma=120.00
Fractional coordinates of all 12 atoms:
Tb1 0.0000 0.0000 0.0000
Tb2 0.3333 0.6667 0.6667
Tb3 0.6667 0.3333 0.3333
H1 0.0000 0.0000 0.5000
H2 0.3333 0.6667 0.1667
H3 0.6667 0.3333 0.8333
Pd1 0.0000 0.0000 0.1176
Pd2 0.0000 0.0000 0.8824
Pd3 0.3333 0.6667 0.5491
Pd4 0.3333 0.6667 0.7843
Pd5 0.6667 0.3333 0.2157
Pd6 0.6667 0.3333 0.4509

Calculated values
Uncorrected energy = -4.55 eV/atom
Symmetry = R-3m
Size of the total moment = 0.00 μB/cell